No. 1
Compound: CsInBr3
Source: the Alexandria database
Functional: PBE
Structure: relaxed

a b c (Å): 8.2111 10.6270 6.4313
angles (deg): 117.95 78.74 111.10
With the nearest neighbours (Å) after each atom.
Fractional coordinates of all 10 atoms:
Cs1 0.0884 0.7136 0.6400  8 Br 3.66-4.03
Br1 0.1689 0.3465 0.4661  1 In 2.63
Br2 0.5252 0.9883 0.7455  1 In 2.61
Br3 0.3769 0.7262 0.0930  1 In 2.63
In1 0.6639 0.9134 0.3207  3 Br 2.61-2.63, 1 In 2.81
Cs2 0.4581 0.3595 0.9201  8 Br 3.66-4.03
Br4 0.8263 0.7153 0.2056  1 In 2.63
Br5 0.7198 0.3579 0.3540  1 In 2.63
In2 0.8819 0.1595 0.2382  3 Br 2.61-2.63, 1 In 2.81
Br6 0.0210 0.0846 0.8137  1 In 2.61

Values from the calculation:
Total moment (Bohr magnetons per cell): 0.00
Formation energy from raw total energies (kJ/mol of formula units): -596

No. 2
Compound: CsIn3Br8
Source: the Alexandria database
Functional: PBE
Structure: relaxed

a b c (Å): 8.1427 8.1427 10.7520
angles (deg): 90.00 90.00 120.00
With the nearest neighbours (Å) after each atom.
Fractional coordinates of all 12 atoms:
Br1 0.8374 0.6748 0.2837  1 In 2.56
In1 0.0000 0.0000 0.5000  6 Br 3.27
Br2 0.8374 0.1626 0.2837  1 In 2.56
Br3 0.1626 0.3252 0.7163  1 In 2.56
Cs1 0.0000 0.0000 0.0000  6 Br 3.82
Br4 0.6667 0.3333 0.9680  1 In 2.52
Br5 0.3252 0.1626 0.2837  1 In 2.56
Br6 0.6748 0.8374 0.7163  1 In 2.56
Br7 0.3333 0.6667 0.0320  1 In 2.52
Br8 0.1626 0.8374 0.7163  1 In 2.56
In2 0.3333 0.6667 0.7973  4 Br 2.52-2.56
In3 0.6667 0.3333 0.2027  4 Br 2.52-2.56

Values from the calculation:
Total moment (Bohr magnetons per cell): 0.00
Formation energy from raw total energies (kJ/mol of formula units): -1123

No. 3
Compound: CsInBr3
Source: the Alexandria database
Functional: PBE
Structure: relaxed

a b c (Å): 26.8747 9.7065 9.0723
angles (deg): 90.00 157.23 90.00
With the nearest neighbours (Å) after each atom.
Fractional coordinates of all 20 atoms:
Cs1 0.5135 0.2710 0.4637  6 Br 3.66-3.85
Br1 0.2379 0.5126 0.6444  1 In 2.97
In1 0.8276 0.8687 0.1060  2 Br 2.97-3.16
Br2 0.3841 0.9755 0.7110  1 Br 2.51
In2 0.6724 0.3687 0.3940  2 Br 2.97-3.16
Cs2 0.0135 0.2290 0.9637  6 Br 3.66-3.85
Cs3 0.9865 0.7710 0.0363  6 Br 3.66-3.85
Br3 0.7379 0.9874 0.1444  1 In 2.97
Br4 0.8920 0.0918 0.0009  1 Br 2.97, 1 In 3.16
Cs4 0.4865 0.7290 0.5363  6 Br 3.66-3.85
Br5 0.1159 0.4755 0.7890  1 Br 2.51
Br6 0.7621 0.4874 0.3556  1 In 2.97
In3 0.1724 0.1313 0.8940  2 Br 2.97-3.16
Br7 0.1080 0.9082 0.9991  1 Br 2.97, 1 In 3.16
Br8 0.8841 0.5245 0.2110  1 Br 2.51
In4 0.3276 0.6313 0.6060  2 Br 2.97-3.16
Br9 0.2621 0.0126 0.8556  1 In 2.97
Br10 0.3920 0.4082 0.5009  1 Br 2.97, 1 In 3.16
Br11 0.6159 0.0245 0.2890  1 Br 2.51
Br12 0.6080 0.5918 0.4991  1 Br 2.97, 1 In 3.16

Values from the calculation:
Total moment (Bohr magnetons per cell): 0.00
Formation energy from raw total energies (kJ/mol of formula units): -467

No. 4
Compound: CsInBr3
Source: the Alexandria database
Functional: PBE
Structure: relaxed

a b c (Å): 10.9552 10.9552 7.6479
angles (deg): 90.00 90.00 137.08
With the nearest neighbours (Å) after each atom.
Fractional coordinates of all 10 atoms:
Cs1 0.6757 0.3243 0.7500  2 Br 3.60
Br1 0.4438 0.0812 0.2500  1 In 2.71
In1 0.0973 0.9027 0.2500  4 Br 2.71-2.76
Br2 0.9188 0.5562 0.2500  1 In 2.71
Br3 0.0000 0.0000 0.5000  2 In 2.76
Br4 0.0000 0.0000 0.0000  2 In 2.76
Br5 0.0812 0.4438 0.7500  1 In 2.71
Cs2 0.3243 0.6757 0.2500  2 Br 3.60
In2 0.9027 0.0973 0.7500  4 Br 2.71-2.76
Br6 0.5562 0.9188 0.7500  1 In 2.71

Values from the calculation:
Total moment (Bohr magnetons per cell): 0.00
Formation energy from raw total energies (kJ/mol of formula units): -526

No. 5
Compound: CsInBr3
Source: the Alexandria database
Functional: PBE
Structure: relaxed

a b c (Å): 5.2269 5.2269 19.0542
angles (deg): 90.00 90.00 120.00
With the nearest neighbours (Å) after each atom.
Fractional coordinates of all 10 atoms:
Br1 0.0000 0.0000 0.7500  3 In 3.02
Br2 0.3333 0.6667 0.6033  1 In 2.80
Cs1 0.0000 0.0000 0.0000  6 Br 3.60
In1 0.6667 0.3333 0.2500  5 Br 2.80-3.02
Br3 0.6667 0.3333 0.3967  1 In 2.80
Br4 0.6667 0.3333 0.1033  1 In 2.80
In2 0.3333 0.6667 0.7500  5 Br 2.80-3.02
Cs2 0.0000 0.0000 0.5000  6 Br 3.60
Br5 0.3333 0.6667 0.8967  1 In 2.80
Br6 0.0000 0.0000 0.2500  3 In 3.02

Values from the calculation:
Total moment (Bohr magnetons per cell): 0.00
Formation energy from raw total energies (kJ/mol of formula units): -520

No. 6
Compound: CsInBr3
Source: the Alexandria database
Functional: PBE
Structure: relaxed

a b c (Å): 5.1615 5.1615 8.9223
angles (deg): 90.00 90.00 90.00
With the nearest neighbours (Å) after each atom.
Fractional coordinates of all 5 atoms:
Br1 0.0000 0.5000 0.4084  2 In 2.92
Cs1 0.0000 0.0000 0.1336  5 Br 3.41-3.56
Br2 0.0000 0.0000 0.7513  1 Cs 3.41
Br3 0.5000 0.0000 0.4084  2 In 2.92
In1 0.5000 0.5000 0.5620  4 Br 2.92

Values from the calculation:
Total moment (Bohr magnetons per cell): 0.00
Formation energy from raw total energies (kJ/mol of formula units): -401